# 1
The following is a DFT calculation (PBE) of a relaxed structure of AgAu2Se.

Output
For the density of states at the Fermi level, the calculation gives 0.20 states/eV per atom. The value obtained for the energy relative to the elements, uncorrected is 142 meV per atom. Its space group is P4/mmm, No. 123.

Unit cell a=2.8484 b=2.8484 c=9.4107 alpha=90.00 beta=90.00 gamma=90.00
Fractional coordinates of all 4 atoms:
Ag: 0.5000 0.5000 0.7500
Au: 0.0000 0.0000 0.9808
Au: 0.0000 0.0000 0.5192
Se: 0.5000 0.5000 0.2500

# 2
The following is a DFT calculation (PBE) of a relaxed structure of TaRu2Pb.

Output
For the density of states at the Fermi level, the calculation gives 0.59 states/eV per atom. As for the energy relative to the elements: 0.00 eV/atom. Its space group is P2/m, No. 10.

Unit cell a=3.1383 b=3.1768 c=7.6215 alpha=72.73 beta=90.00 gamma=90.00
Fractional coordinates of all 4 atoms:
Pb: 0.5000 0.7500 0.7500
Ru: 0.0000 0.8773 0.0424
Ru: 0.0000 0.6227 0.4576
Ta: 0.5000 0.2500 0.2500

# 3
The following is a DFT calculation (PBE) of a relaxed structure of SrPr14Sm.

Output
For the density of states at the Fermi level, the calculation gives 1.51 states/eV per atom. As for the energy relative to the elements: 0.04 eV/atom. Its space group is P4/mmm, No. 123.

Unit cell a=7.4848 b=7.4848 c=10.5099 alpha=90.00 beta=90.00 gamma=90.00
Fractional coordinates of all 16 atoms:
Sr: 0.8750 0.8750 0.5000
Pr: 0.8750 0.8750 0.0000
Pr: 0.3750 0.3750 0.0000
Pr: 0.8750 0.3750 0.5000
Pr: 0.8750 0.3750 0.0000
Pr: 0.3750 0.8750 0.5000
Pr: 0.3750 0.8750 0.0000
Pr: 0.6193 0.1307 0.2460
Pr: 0.6193 0.1307 0.7540
Pr: 0.1307 0.6193 0.2460
Pr: 0.1307 0.6193 0.7540
Pr: 0.6193 0.6193 0.2460
Pr: 0.6193 0.6193 0.7540
Pr: 0.1307 0.1307 0.2461
Pr: 0.1307 0.1307 0.7539
Sm: 0.3750 0.3750 0.5000

# 4
The following is a DFT calculation (PBE) of a relaxed structure of HoMg2ZnAu4.

Output
For the density of states at the Fermi level, the calculation gives 0.40 states/eV per atom. As for the energy relative to the elements: -0.58 eV/atom. Its space group is R-3m, No. 166.

Unit cell a=4.6465 b=4.6465 c=8.6322 alpha=74.39 beta=74.39 gamma=60.00
Fractional coordinates of all 8 atoms:
Ho: 0.0000 0.0000 0.0000
Mg: 0.7571 0.7571 0.7287
Mg: 0.2429 0.2429 0.2713
Zn: 0.5000 0.5000 0.5000
Au: 0.3899 0.3899 0.8304
Au: 0.8738 0.8738 0.3785
Au: 0.1262 0.1262 0.6215
Au: 0.6101 0.6101 0.1696

# 5
The following is a DFT calculation (PBE) of a relaxed structure of AcLa5Nd2Sc.

Output
For the density of states at the Fermi level, the calculation gives 1.79 states/eV per atom. As for the energy relative to the elements: 0.25 eV/atom. Its space group is P4/mbm, No. 127.

Unit cell a=7.6209 b=9.2985 c=9.2985 alpha=90.00 beta=90.00 gamma=90.00
Fractional coordinates of all 18 atoms:
Ac: 0.0000 0.5000 0.5000
Ac: 0.0000 0.0000 0.0000
La: 0.5000 0.5000 0.5000
La: 0.5000 0.0000 0.0000
La: 0.2215 0.2062 0.7062
La: 0.2215 0.7938 0.2938
La: 0.2215 0.2938 0.2062
La: 0.2215 0.7062 0.7938
La: 0.7785 0.2062 0.7062
La: 0.7785 0.7062 0.7938
La: 0.7785 0.7938 0.2938
La: 0.7785 0.2938 0.2062
Nd: 0.5000 0.6147 0.1147
Nd: 0.5000 0.1147 0.3853
Nd: 0.5000 0.8853 0.6147
Nd: 0.5000 0.3853 0.8853
Sc: 0.0000 0.0000 0.5000
Sc: 0.0000 0.5000 0.0000

# 6
The following is a DFT calculation (PBE) of a relaxed structure of TlCuHPt2.

Output
For the density of states at the Fermi level, the calculation gives 0.21 states/eV per atom. The electronic total energy is -4.360 eV/atom. Its space group is P4/mmm, No. 123.

Unit cell a=4.0677 b=4.0677 c=4.1736 alpha=90.00 beta=90.00 gamma=90.00
Fractional coordinates of all 5 atoms:
H: 0.0000 0.0000 0.0000
Tl: 0.5000 0.5000 0.5000
Cu: 0.0000 0.0000 0.5000
Pt: 0.0000 0.5000 0.0000
Pt: 0.5000 0.0000 0.0000

# 7
The following is a DFT calculation (PBE) of a relaxed structure of Mg3SbN.

Output
For the density of states at the Fermi level, the calculation gives 0.00 states/eV per atom. The value obtained for the energy relative to the elements, uncorrected is -483 meV per atom. Its space group is R-3, No. 148.

Unit cell a=6.9641 b=5.9566 c=6.9646 alpha=89.96 beta=50.61 gamma=64.65
Fractional coordinates of all 10 atoms:
Sb: 0.3538 0.7265 0.6045
Sb: 0.8738 0.9668 0.3651
Mg: 0.7581 0.2703 0.0601
Mg: 0.7569 0.7786 0.0614
Mg: 0.2655 0.2717 0.5527
Mg: 0.4710 0.9146 0.9082
Mg: 0.9621 0.4216 0.4169
Mg: 0.4692 0.4234 0.9099
N: 0.4391 0.1840 0.1474
N: 0.7885 0.5093 0.8223

# 8
The following is a DFT calculation (PBE) of a relaxed structure of LaYSc2.

Output
The value obtained for the distance to the lowest polymorph of the same formula is 31 meV per atom. For the density of states at the Fermi level, the calculation gives 1.69 states/eV per atom. As for the energy relative to the elements: 0.08 eV/atom. Its space group is R3m, No. 160.

Unit cell a=11.3554 b=11.3554 c=11.3554 alpha=17.62 beta=17.62 gamma=17.62
Fractional coordinates of all 4 atoms:
Y: 0.5048 0.5048 0.5048
Sc: 0.9955 0.9955 0.9955
Sc: 0.2533 0.2533 0.2533
La: 0.7464 0.7464 0.7464

# 9
The following is a DFT calculation (PBE) of a relaxed structure of TiTl2PO6.

Output
For the density of states at the Fermi level, the calculation gives 0.19 states/eV per atom. The value obtained for the energy relative to the elements, uncorrected is -1616 meV per atom. Its space group is P-3m1, No. 164.

Unit cell a=4.9653 b=6.2883 c=6.2883 alpha=120.00 beta=90.00 gamma=90.00
Fractional coordinates of all 10 atoms:
Ti: 0.5000 0.0000 0.0000
Tl: 0.1302 0.3333 0.6667
Tl: 0.8698 0.6667 0.3333
P: 0.0000 0.0000 0.0000
O: 0.7890 0.1262 0.2523
O: 0.7890 0.1262 0.8738
O: 0.7890 0.7477 0.8738
O: 0.2110 0.8738 0.1262
O: 0.2110 0.2523 0.1262
O: 0.2110 0.8738 0.7477

# 10
The following is a DFT calculation (PBE) of a relaxed structure of LiZnCdPt.

Output
For the density of states at the Fermi level, the calculation gives 0.28 states/eV per atom. As for the energy relative to the elements: -0.41 eV/atom. Its space group is Pmmm, No. 47.

Unit cell a=3.7832 b=3.9223 c=4.2308 alpha=90.00 beta=90.00 gamma=90.00
Fractional coordinates of all 4 atoms:
Li: 0.0000 0.0000 0.0000
Zn: 0.0000 0.5000 0.5000
Cd: 0.5000 0.5000 0.0000
Pt: 0.5000 0.0000 0.5000

# 11
The following is a DFT calculation (PBE) of a relaxed structure of NaAcPb3.

Output
The value obtained for the distance to the lowest polymorph of the same formula is 37 meV per atom. For the density of states at the Fermi level, the calculation gives 0.74 states/eV per atom. As for the energy relative to the elements: -0.22 eV/atom. Its space group is P2/c, No. 13.

Unit cell a=6.7425 b=6.7745 c=14.6422 alpha=90.00 beta=90.00 gamma=90.14
Fractional coordinates of all 20 atoms:
Na: 0.2500 0.5000 0.0980
Na: 0.7500 0.0000 0.9020
Na: 0.7500 0.5000 0.9020
Na: 0.2500 0.0000 0.0980
Ac: 0.4880 0.2499 0.6855
Ac: 0.5120 0.7501 0.3145
Ac: 0.9880 0.2499 0.3145
Ac: 0.0120 0.7501 0.6855
Pb: 0.2500 0.0000 0.4997
Pb: 0.7500 0.5000 0.4997
Pb: 0.7500 0.0000 0.5003
Pb: 0.2500 0.5000 0.5003
Pb: 0.2307 0.7499 0.8988
Pb: 0.7693 0.2501 0.1012
Pb: 0.7307 0.7499 0.1012
Pb: 0.2693 0.2501 0.8988
Pb: 0.5226 0.7500 0.7214
Pb: 0.4774 0.2500 0.2786
Pb: 0.0226 0.7500 0.2786
Pb: 0.9774 0.2500 0.7214

# 12
The following is a DFT calculation (PBE) of a relaxed structure of HfIF3.

Output
The value obtained for the distance to the lowest polymorph of the same formula is 2499 meV per atom. For the density of states at the Fermi level, the calculation gives 2.12 states/eV per atom. The value obtained for the energy relative to the elements, uncorrected is 11 meV per atom. Its space group is Pm-3m, No. 221.

Unit cell a=4.7721 b=4.7721 c=4.7721 alpha=90.00 beta=90.00 gamma=90.00
Fractional coordinates of all 5 atoms:
I: 0.0000 0.0000 0.0000
Hf: 0.5000 0.5000 0.5000
F: 0.0000 0.5000 0.0000
F: 0.0000 0.0000 0.5000
F: 0.5000 0.0000 0.0000